VASP calculation (PBE) on crystalline YAgTe2 at its relaxed geometry.

- ΔE_f (raw) (meV per atom) = -322
- space-group type = F-43m

abc: 5.310 5.310 5.310
angles: 60.00 60.00 60.00
Positions (direct):
Ag (0.500, 0.500, 0.500)
Y (0.250, 0.250, 0.250)
Te (0.000, 0.000, 0.000)
Te (0.750, 0.750, 0.750)

VASP calculation (PBE) on crystalline Cr3Os at its relaxed geometry.

- energy of formation (eV/atom) = 0.211
- space-group type = Pmmm

abc: 2.656 3.637 5.205
angles: 90.00 90.00 90.00
Positions (direct):
Cr (0.500, 0.500, 0.750)
Cr (0.000, 0.000, 0.993)
Cr (0.000, 0.000, 0.507)
Os (0.500, 0.500, 0.250)

VASP calculation (PBE) on crystalline LiHfSi2Sb at its relaxed geometry.

- ΔE_f (raw) (meV per atom) = 514
- space-group type = P4/mmm

abc: 4.322 5.024 4.322
angles: 90.00 90.00 90.00
Positions (direct):
Li (0.000, 0.000, 0.000)
Si (0.000, 0.000, 0.500)
Si (0.500, 0.000, 0.000)
Sb (0.500, 0.500, 0.500)
Hf (0.000, 0.500, 0.000)

VASP calculation (PBE) on crystalline Mg2Sc3TiS8 at its relaxed geometry.

- ΔE_f (raw) (meV per atom) = -1663
- space-group type = R-3m

abc: 7.542 7.468 7.542
angles: 59.67 59.99 59.68
Each line ends with the local moment (μB).
Positions (direct):
Mg (0.125, 0.126, 0.125)  0.01
Mg (0.875, 0.874, 0.875)  0.01
Sc (0.500, 0.500, 0.500)  0.03
Sc (0.000, 0.500, 0.500)  0.03
Sc (0.500, 0.500, 0.000)  0.03
S (0.275, 0.751, 0.737)  -0.01
S (0.737, 0.751, 0.275)  -0.01
S (0.737, 0.751, 0.737)  -0.01
S (0.742, 0.274, 0.742)  0.00
S (0.263, 0.249, 0.725)  -0.01
S (0.263, 0.249, 0.263)  -0.01
S (0.258, 0.726, 0.258)  0.00
S (0.725, 0.249, 0.263)  -0.01
Ti (0.500, 0.000, 0.500)  0.74

VASP calculation (PBE) on crystalline K2NaBr at its relaxed geometry.

- energy above the most stable polymorph in this dataset (kcal/mol of atoms) = 1.83
- ΔE_f (raw) (meV per atom) = -715
- space-group type = I-42d

abc: 9.438 9.438 8.326
angles: 55.47 55.47 90.00
Positions (direct):
K (0.691, 0.125, 0.250)
K (0.875, 0.941, 0.750)
K (0.059, 0.625, 0.250)
K (0.375, 0.309, 0.750)
Na (0.500, 0.500, 0.000)
Na (0.250, 0.750, 0.500)
Br (0.750, 0.250, 0.500)
Br (0.000, 0.000, 0.000)

VASP calculation (PBE) on crystalline AcHoNiGe at its relaxed geometry.

- energy of formation (eV/atom) = -0.376
- space-group type = F-43m

abc: 5.167 5.167 5.167
angles: 60.00 60.00 60.00
Positions (direct):
Ni (0.000, 0.000, 0.000)
Ge (0.500, 0.500, 0.500)
Ac (0.750, 0.750, 0.750)
Ho (0.250, 0.250, 0.250)

VASP calculation (PBE) on crystalline Mo3Au at its relaxed geometry.

- energy of formation (eV/atom) = 0.235
- space-group type = P4/mmm

abc: 3.336 3.336 5.892
angles: 90.00 90.00 90.00
Positions (direct):
Mo (0.500, 0.500, 0.730)
Mo (0.500, 0.500, 0.270)
Mo (0.000, 0.000, 0.500)
Au (0.000, 0.000, 0.000)

VASP calculation (PBE) on crystalline LiCd5 at its relaxed geometry.

- energy above the most stable polymorph in this dataset (kcal/mol of atoms) = 0.08
- energy of formation (eV/atom) = -0.106
- space-group type = Cmmm

abc: 6.633 6.633 4.484
angles: 90.00 90.00 139.95
Positions (direct):
Li (0.972, 0.028, 0.000)
Cd (0.307, 0.693, 0.000)
Cd (0.472, 0.528, 0.500)
Cd (0.812, 0.188, 0.500)
Cd (0.132, 0.868, 0.500)
Cd (0.637, 0.363, 0.000)

VASP calculation (PBE) on crystalline Zr2Bi2As at its relaxed geometry.

- energy of formation (eV/atom) = -0.357
- space-group type = P4/mbm

abc: 7.565 7.565 4.294
angles: 90.00 90.00 90.00
Positions (direct):
Zr (0.157, 0.343, 0.000)
Zr (0.843, 0.657, 0.000)
Zr (0.343, 0.843, 0.000)
Zr (0.657, 0.157, 0.000)
Bi (0.148, 0.648, 0.500)
Bi (0.352, 0.148, 0.500)
Bi (0.852, 0.352, 0.500)
Bi (0.648, 0.852, 0.500)
As (0.000, 0.000, 0.000)
As (0.500, 0.500, 0.000)

VASP calculation (PBE) on crystalline Hf3Ga3Re at its relaxed geometry.

- energy of formation (eV/atom) = -0.428
- space-group type = Cmcm

abc: 3.475 5.508 13.902
angles: 90.00 90.00 108.39
Positions (direct):
Hf (0.825, 0.649, 0.409)
Hf (0.175, 0.351, 0.591)
Hf (0.175, 0.351, 0.909)
Hf (0.487, 0.974, 0.750)
Hf (0.825, 0.649, 0.091)
Hf (0.513, 0.026, 0.250)
Ga (0.748, 0.496, 0.750)
Ga (0.895, 0.791, 0.609)
Ga (0.895, 0.791, 0.891)
Ga (0.105, 0.209, 0.391)
Ga (0.105, 0.209, 0.109)
Ga (0.252, 0.504, 0.250)
Re (0.500, 0.000, 0.000)
Re (0.500, 0.000, 0.500)

VASP calculation (PBE) on crystalline BaY2Tl at its relaxed geometry.

- energy above the most stable polymorph in this dataset (kcal/mol of atoms) = 0.94
- energy of formation (eV/atom) = -0.063
- space-group type = Pmm2

abc: 4.897 3.771 8.485
angles: 63.60 90.00 90.00
Positions (direct):
Y (0.000, 0.009, 0.991)
Y (0.500, 0.298, 0.202)
Tl (0.500, 0.714, 0.786)
Ba (0.000, 0.479, 0.521)

VASP calculation (PBE) on crystalline RbInTeI2 at its relaxed geometry.

- energy above the most stable polymorph in this dataset (kcal/mol of atoms) = 0.00
- ΔE_f (raw) (meV per atom) = -620
- space-group type = P4/mmm

abc: 6.171 6.171 5.727
angles: 90.00 90.00 90.00
Positions (direct):
I (0.500, 0.000, 0.000)
I (0.000, 0.500, 0.000)
Rb (0.500, 0.500, 0.500)
In (0.000, 0.000, 0.000)
Te (0.000, 0.000, 0.500)

Total magnetization (computed, μB per formula unit): 0.0; 0.0; 0.0; 1.0; 0.0; 0.0; 0.0; 0.0; 0.0; 0.0; 0.0; 0.0
Electronic total energy (computed, eV/f.u.): -16.9; -39.3; -24.3; -86.4; -8.0; -20.6; -34.8; -7.1; -31.3; -54.4; -17.5; -13.0
Density (computed, Mg/m³): 7.09; 11.43; 6.43; 2.71; 1.36; 8.91; 12.28; 7.44; 9.13; 12.24; 6.15; 4.43